1.
# GGA-PBE BaPr3Ru, optimized geometry
# Energy, eV per cell: -25.60
# Density, Mg/m³: 5.825
# DFT formation energy, eV/atom: -0.013
data_BaPr3Ru
_chemical_formula_sum 'Ba1 Pr3 Ru1'
_cell_length_a 5.7333
_cell_length_b 5.7333
_cell_length_c 5.7333
_cell_angle_alpha 90.00
_cell_angle_beta 90.00
_cell_angle_gamma 90.00
_space_group_name_H-M_alt 'P m -3 m'
_space_group_IT_number 221
_space_group_name_Hall '-P 4 2 3'
loop_
_atom_site_label
_atom_site_type_symbol
_atom_site_fract_x
_atom_site_fract_y
_atom_site_fract_z
Ba1 Ba 0.0000 0.0000 0.0000
Pr1 Pr 0.0000 0.5000 0.5000
Ru1 Ru 0.5000 0.5000 0.5000


2.
# GGA-PBE BaPr5S6, optimized geometry
# Formation energy from raw total energies, eV/atom: -1.995
# Energy, eV per cell: -149.04
# Density, Mg/m³: 5.586
data_BaPr5S6
_chemical_formula_sum 'Ba2 Pr10 S12'
_cell_length_a 7.2111
_cell_length_b 12.4939
_cell_length_c 7.2378
_cell_angle_alpha 90.00
_cell_angle_beta 109.43
_cell_angle_gamma 90.00
_space_group_name_H-M_alt 'C 1 2/m 1'
_space_group_IT_number 12
_space_group_name_Hall '-C 2y'
loop_
_atom_site_label
_atom_site_type_symbol
_atom_site_fract_x
_atom_site_fract_y
_atom_site_fract_z
Ba1 Ba 0.0000 0.0000 0.0000
Pr1 Pr 0.0000 0.1621 0.5000
Pr2 Pr 0.0000 0.3330 0.0000
Pr3 Pr 0.0000 0.5000 0.5000
S1 S 0.2388 0.5000 0.2537
S2 S 0.2404 0.3272 0.7398


3.
# GGA-PBE BaPr4S5, optimized geometry
# Formation energy from raw total energies, eV/atom: -2.004
# Energy, eV per cell: -123.44
# Density, Mg/m³: 5.529
data_BaPr4S5
_chemical_formula_sum 'Ba2 Pr8 S10'
_cell_length_a 13.9538
_cell_length_b 4.1517
_cell_length_c 10.2811
_cell_angle_alpha 90.00
_cell_angle_beta 119.70
_cell_angle_gamma 90.00
_space_group_name_H-M_alt 'C 1 2/m 1'
_space_group_IT_number 12
_space_group_name_Hall '-C 2y'
loop_
_atom_site_label
_atom_site_type_symbol
_atom_site_fract_x
_atom_site_fract_y
_atom_site_fract_z
Ba1 Ba 0.0000 0.0000 0.0000
Pr1 Pr 0.0959 0.5000 0.4015
Pr2 Pr 0.1992 0.0000 0.7881
S1 S 0.0000 0.0000 0.5000
S2 S 0.1118 0.5000 0.8951
S3 S 0.2032 0.0000 0.3131


What is the density in the first record? 5.825 Mg/m³


Please write out number 2 again, unchanged.
# GGA-PBE BaPr5S6, optimized geometry
# Formation energy from raw total energies, eV/atom: -1.995
# Energy, eV per cell: -149.04
# Density, Mg/m³: 5.586
data_BaPr5S6
_chemical_formula_sum 'Ba2 Pr10 S12'
_cell_length_a 7.2111
_cell_length_b 12.4939
_cell_length_c 7.2378
_cell_angle_alpha 90.00
_cell_angle_beta 109.43
_cell_angle_gamma 90.00
_space_group_name_H-M_alt 'C 1 2/m 1'
_space_group_IT_number 12
_space_group_name_Hall '-C 2y'
loop_
_atom_site_label
_atom_site_type_symbol
_atom_site_fract_x
_atom_site_fract_y
_atom_site_fract_z
Ba1 Ba 0.0000 0.0000 0.0000
Pr1 Pr 0.0000 0.1621 0.5000
Pr2 Pr 0.0000 0.3330 0.0000
Pr3 Pr 0.0000 0.5000 0.5000
S1 S 0.2388 0.5000 0.2537
S2 S 0.2404 0.3272 0.7398


Which formula does entry 1 have? BaPr3Ru